KSmCuSe2: relaxed, PBE.

```
data_KSmCuSe2
_chemical_formula_sum 'K2 Sm2 Cu2 Se4'
_cell_length_a 7.8387
_cell_length_b 4.6537
_cell_length_c 8.2786
_cell_angle_alpha 90.00
_cell_angle_beta 99.31
_cell_angle_gamma 90.00
_symmetry_space_group_name_H-M 'P 1 2/c 1'
_symmetry_Int_Tables_number 13
_symmetry_space_group_name_Hall '-P 2yc'
loop_
_atom_site_label
_atom_site_type_symbol
_atom_site_fract_x
_atom_site_fract_y
_atom_site_fract_z
_atom_site_occupancy
K1 K 0.0000 0.1696 0.2500 1
Sm1 Sm 0.5000 0.4917 0.7500 1
Cu1 Cu 0.5000 0.0000 0.0000 1
Se1 Se 0.2608 0.3137 0.9661 1
```

Summary:
total moment = 0.00 μB/f.u.
raw formation energy = -1.019 eV/atom